Below is a geometry-optimized CsCd2TcSb structure, with properties calculated at the PBE-GGA level.

POSCAR file:
```
CsCd2TcSb
1.0
5.503 0.000 0.000
0.000 5.503 0.000
0.000 0.000 5.097
Cs Cd Tc Sb
1 2 1 1
direct
0.000 0.000 0.000
0.000 0.500 0.500
0.500 0.000 0.500
0.500 0.500 0.500
0.500 0.500 0.000
```

Summary:
Symmetry: P4/mmm
Fermi-level density of states (states/eV/cell): 2.30



Below is a geometry-optimized Cs2CdSbTe4 structure, with properties calculated at the PBE-GGA level.

POSCAR file:
```
Cs2CdSbTe4
1.0
0.000 7.865 13.589
3.548 0.000 13.589
3.548 7.865 0.000
Cs Cd Sb Te
4 2 2 8
direct
0.057 0.057 0.693
0.307 0.307 0.943
0.693 0.693 0.057
0.943 0.943 0.307
0.125 0.125 0.125
0.875 0.875 0.875
0.375 0.375 0.375
0.625 0.625 0.625
0.034 0.331 0.426
0.291 0.574 0.669
0.331 0.034 0.709
0.426 0.709 0.034
0.574 0.291 0.966
0.669 0.966 0.291
0.709 0.426 0.331
0.966 0.669 0.574
```

Summary:
Symmetry: Fddd
Fermi-level density of states (states/eV/cell): 10.13



Below is a geometry-optimized CsCd2SbTe4 structure, with properties calculated at the PBE-GGA level.

POSCAR file:
```
CsCd2SbTe4
1.0
-3.819 4.547 4.950
3.819 -4.547 4.950
3.819 4.547 -4.950
Cs Cd Sb Te
1 2 1 4
direct
0.000 0.000 0.000
0.324 0.824 0.500
0.676 0.176 0.500
0.500 0.500 0.000
0.136 0.099 0.585
0.486 0.901 0.037
0.514 0.551 0.415
0.864 0.449 0.963
```

Summary:
Symmetry: I222



Below is a geometry-optimized CsTl2CdSb2 structure, with properties calculated at the PBE-GGA level.

POSCAR file:
```
CsTl2CdSb2
1.0
5.460 0.000 0.000
0.000 8.106 0.000
0.000 0.000 9.494
Cs Tl Cd Sb
2 4 2 4
direct
0.000 0.115 0.000
0.000 0.885 0.500
0.000 0.335 0.652
0.000 0.665 0.152
0.500 0.449 0.953
0.500 0.551 0.453
0.500 0.165 0.347
0.500 0.835 0.847
0.000 0.355 0.331
0.000 0.645 0.831
0.500 0.151 0.687
0.500 0.849 0.187
```

Summary:
Symmetry: Pmc2_1
Fermi-level density of states (states/eV/cell): 6.05



Below is a geometry-optimized CsTlCdSb2 structure, with properties calculated at the PBE-GGA level.

POSCAR file:
```
CsTlCdSb2
1.0
-2.624 2.624 6.505
2.624 -2.624 6.505
2.624 2.624 -6.505
Cs Tl Cd Sb
1 1 1 2
direct
0.000 0.000 0.000
0.750 0.250 0.500
0.250 0.750 0.500
0.376 0.376 0.000
0.624 0.624 0.000
```

Summary:
Symmetry: I-4m2
Fermi-level density of states (states/eV/cell): 1.87



Below is a geometry-optimized CsTlCdSb structure, with properties calculated at the PBE-GGA level.

POSCAR file:
```
CsTlCdSb
1.0
4.662 0.000 0.000
0.000 4.662 0.000
0.000 0.000 15.278
Cs Tl Cd Sb
2 2 2 2
direct
0.250 0.250 0.244
0.750 0.750 0.756
0.250 0.750 0.500
0.750 0.250 0.500
0.250 0.750 0.000
0.750 0.250 0.000
0.250 0.250 0.881
0.750 0.750 0.119
```

Summary:
Symmetry: P4/nmm
Fermi-level density of states (states/eV/cell): 4.82



Number 1: electronic total energy -3.361 eV per atom. Number 2: electronic total energy -2.948 eV per atom. Number 3: electronic total energy -2.748 eV per atom. Number 4: electronic total energy -2.600 eV per atom. Number 5: electronic total energy -2.684 eV per atom. Number 6: electronic total energy -2.276 eV per atom.